No. 1
Below is SnBIO2 after structural relaxation, with properties calculated at the PBE level.

Cell: 4.0486 4.0486 4.5210 Å, 90.00 90.00 90.00°
Positions (direct):
B  0.0000  0.0000  0.0000
O  0.5000  0.0000  0.0000
O  0.0000  0.5000  0.0000
Sn  0.5000  0.5000  0.5000
I  0.0000  0.0000  0.5000

size of the total moment = 0.00 μB/atom

***

No. 2
Below is SnBIO2 after structural relaxation, with properties calculated at the PBE level.

Cell: 3.9565 6.6751 3.9565 Å, 90.00 90.00 90.00°
Positions (direct):
O  0.0000  0.0000  0.5000
O  0.5000  0.0000  0.0000
I  0.0000  0.5000  0.0000
B  0.5000  0.5000  0.5000
Sn  0.0000  0.0000  0.0000

size of the total moment = 0.00 μB/atom

***

No. 3
Below is TaBIO2 after structural relaxation, with properties calculated at the PBE level.

Cell: 3.9068 3.9068 6.1322 Å, 90.00 90.00 90.00°
Positions (direct):
B  0.5000  0.5000  0.5000
O  0.5000  0.0000  0.0000
O  0.0000  0.5000  0.0000
I  0.0000  0.0000  0.5000
Ta  0.0000  0.0000  0.0000

size of the total moment = 0.08 μB/atom

***

No. 4
Below is TaBIO2 after structural relaxation, with properties calculated at the PBE level.

Cell: 3.8738 3.8738 4.4403 Å, 90.00 90.00 90.00°
Positions (direct):
Ta  0.5000  0.5000  0.5000
B  0.0000  0.0000  0.0000
O  0.0000  0.5000  0.0000
O  0.5000  0.0000  0.0000
I  0.0000  0.0000  0.5000

size of the total moment = 0.20 μB/atom

***

No. 5
Below is TcBIO2 after structural relaxation, with properties calculated at the PBE level.

Cell: 3.7891 3.7891 6.0166 Å, 90.00 90.00 90.00°
Positions (direct):
I  0.0000  0.0000  0.5000
O  0.5000  0.0000  0.0000
O  0.0000  0.5000  0.0000
B  0.5000  0.5000  0.5000
Tc  0.0000  0.0000  0.0000

size of the total moment = 0.06 μB/atom

***

No. 6
Below is TcBIO2 after structural relaxation, with properties calculated at the PBE level.

Cell: 3.5116 3.5116 6.4456 Å, 90.00 90.00 90.00°
Positions (direct):
O  0.5000  0.0000  0.0000
O  0.0000  0.5000  0.0000
B  0.0000  0.0000  0.0000
Tc  0.5000  0.5000  0.5000
I  0.0000  0.0000  0.5000

size of the total moment = 0.52 μB/atom

***

No. 7
Below is BTe2IO after structural relaxation, with properties calculated at the PBE level.

Cell: 4.7642 4.7642 5.1354 Å, 90.00 90.00 90.00°
Positions (direct):
Te  0.5000  0.0000  0.0000
Te  0.0000  0.5000  0.0000
B  0.5000  0.5000  0.5000
I  0.0000  0.0000  0.5000
O  0.0000  0.0000  0.0000

size of the total moment = 0.00 μB/atom

***

No. 8
Below is TiBI2O after structural relaxation, with properties calculated at the PBE level.

Cell: 5.6588 5.6588 3.7433 Å, 90.00 90.00 90.00°
Positions (direct):
I  0.5000  0.0000  0.0000
I  0.0000  0.5000  0.0000
O  0.0000  0.0000  0.5000
B  0.5000  0.5000  0.5000
Ti  0.0000  0.0000  0.0000

size of the total moment = 0.19 μB/atom

***

No. 9
Below is TiBIO2 after structural relaxation, with properties calculated at the PBE level.

Cell: 3.7500 3.7500 4.5917 Å, 90.00 90.00 90.00°
Positions (direct):
B  0.0000  0.0000  0.0000
O  0.5000  0.0000  0.0000
O  0.0000  0.5000  0.0000
Ti  0.5000  0.5000  0.5000
I  0.0000  0.0000  0.5000

size of the total moment = 0.00 μB/atom

***

No. 10
Below is TiBI2O after structural relaxation, with properties calculated at the PBE level.

Cell: 5.4096 5.4096 3.2209 Å, 90.00 90.00 90.00°
Positions (direct):
B  0.0000  0.0000  0.0000
O  0.0000  0.0000  0.5000
Ti  0.5000  0.5000  0.5000
I  0.5000  0.0000  0.0000
I  0.0000  0.5000  0.0000

size of the total moment = 0.49 μB/atom

***

No. 11
Below is TiBIO2 after structural relaxation, with properties calculated at the PBE level.

Cell: 3.8024 3.8024 5.9367 Å, 90.00 90.00 90.00°
Positions (direct):
I  0.0000  0.0000  0.5000
Ti  0.0000  0.0000  0.0000
O  0.0000  0.5000  0.0000
O  0.5000  0.0000  0.0000
B  0.5000  0.5000  0.5000

size of the total moment = 0.00 μB/atom

***

No. 12
Below is TlBIO2 after structural relaxation, with properties calculated at the PBE level.

Cell: 4.0190 4.0190 4.7159 Å, 90.00 90.00 90.00°
Positions (direct):
B  0.0000  0.0000  0.0000
Tl  0.5000  0.5000  0.5000
O  0.5000  0.0000  0.0000
O  0.0000  0.5000  0.0000
I  0.0000  0.0000  0.5000

size of the total moment = 0.09 μB/atom

***

No. 13
Below is TlBIO2 after structural relaxation, with properties calculated at the PBE level.

Cell: 4.0942 4.0942 7.1958 Å, 90.00 90.00 90.00°
Positions (direct):
B  0.5000  0.5000  0.5000
O  0.0000  0.5000  0.0000
O  0.5000  0.0000  0.0000
I  0.0000  0.0000  0.5000
Tl  0.0000  0.0000  0.0000

size of the total moment = 0.00 μB/atom

***

No. 14
Below is TlBI2O after structural relaxation, with properties calculated at the PBE level.

Cell: 6.1438 6.1438 4.0909 Å, 90.00 90.00 90.00°
Positions (direct):
I  0.5000  0.0000  0.0000
I  0.0000  0.5000  0.0000
B  0.5000  0.5000  0.5000
Tl  0.0000  0.0000  0.0000
O  0.0000  0.0000  0.5000

size of the total moment = 0.00 μB/atom

***

No. 15
Below is TlBI2O after structural relaxation, with properties calculated at the PBE level.

Cell: 6.9845 6.9845 2.9014 Å, 90.00 90.00 90.00°
Positions (direct):
O  0.0000  0.0000  0.5000
I  0.0000  0.5000  0.0000
I  0.5000  0.0000  0.0000
B  0.0000  0.0000  0.0000
Tl  0.5000  0.5000  0.5000

size of the total moment = 0.13 μB/atom

***

| no. | raw total energy (eV for the cell shown) | formation energy from raw total energies (eV per atom) |
| --- | --- | --- |
| 1 | -19.90 | 0.450 |
| 2 | -20.88 | 0.254 |
| 3 | -32.64 | -0.529 |
| 4 | -25.75 | 0.850 |
| 5 | -27.81 | 0.140 |
| 6 | -24.15 | 0.871 |
| 7 | -14.13 | 1.069 |
| 8 | -23.19 | -0.112 |
| 9 | -24.62 | 0.284 |
| 10 | -21.50 | 0.226 |
| 11 | -29.19 | -0.631 |
| 12 | -17.71 | 0.560 |
| 13 | -15.90 | 0.922 |
| 14 | -12.63 | 0.894 |
| 15 | -17.56 | -0.091 |